Entry 1:
Mg3AgPt12 after structural relaxation, computed with PBE.

Results
Formation energy from the elements, meV/atom: -449
VASP energy, eV/atom: -5.46
D(E_F), states/eV/cell: 13.226

a b c (Å): 3.9653 3.9653 15.9274
angles (deg): 90.00 90.00 90.00
Closest atoms and distances in Å follow each position.
Space group P4/mmm (No. 123)
Asymmetric unit:
Mg  0.0000  0.0000  0.0000  12 Pt 2.80
Mg  0.0000  0.0000  0.2480  12 Pt 2.79-2.80
Ag  0.0000  0.0000  0.5000  12 Pt 2.80-2.85
Pt  0.0000  0.5000  0.1239  4 Mg 2.80, 8 Pt 2.80
Pt  0.0000  0.5000  0.3717  8 Pt 2.79-2.85, 2 Mg 2.79, 2 Ag 2.85
Pt  0.5000  0.5000  0.0000  8 Pt 2.80, 4 Mg 2.80
Pt  0.5000  0.5000  0.2481  8 Pt 2.79-2.80, 4 Mg 2.80
Pt  0.5000  0.5000  0.5000  4 Ag 2.80, 8 Pt 2.85

=====

Entry 2:
BaP2SF after structural relaxation, computed with PBE.

Results
Energy above the lowest structure with this stoichiometry, meV/atom: 0
Formation energy from raw total energies, meV per atom: -242
VASP energy, eV/atom: -3.99
D(E_F), states/eV/cell: 3.412

a b c (Å): 4.3421 4.3421 5.9390
angles (deg): 90.00 90.00 90.00
Closest atoms and distances in Å follow each position.
Space group P4/mmm (No. 123)
Asymmetric unit:
Ba  0.0000  0.0000  0.0000  4 S 3.07
P  0.0000  0.5000  0.5000  2 F 2.17
S  0.5000  0.5000  0.0000  2 F 2.97, 4 Ba 3.07
F  0.5000  0.5000  0.5000  4 P 2.17